Cs3TaBr8: optimized geometry, PBE.

Raw total energy, eV per atom: -3.66
Raw formation energy, eV/atom: -1.35
Crystal system: hexagonal

a = 10.755 Å, b = 10.755 Å, c = 10.096 Å
α = 90.00°, β = 90.00°, γ = 120.00°
Fractional coordinates of all 24 atoms:
Cs 0.152 0.304 0.000
Cs 0.152 0.848 0.000
Cs 0.304 0.152 0.500
Cs 0.696 0.848 0.000
Cs 0.848 0.152 0.500
Cs 0.848 0.696 0.500
Ta 0.333 0.667 0.458
Ta 0.667 0.333 0.958
Br 0.000 0.000 0.256
Br 0.000 0.000 0.756
Br 0.110 0.555 0.317
Br 0.222 0.445 0.608
Br 0.222 0.778 0.608
Br 0.333 0.667 0.960
Br 0.445 0.222 0.108
Br 0.445 0.555 0.317
Br 0.445 0.890 0.317
Br 0.555 0.110 0.817
Br 0.555 0.445 0.817
Br 0.555 0.778 0.608
Br 0.667 0.333 0.460
Br 0.778 0.222 0.108
Br 0.778 0.555 0.108
Br 0.890 0.445 0.817